Entry 1:
The following is a DFT calculation (PBE) of a relaxed structure of Na3Pa2MnN6.

It has space group C2/m (No. 12), with a = 5.793 Å, b = 10.076 Å, c = 6.010 Å, α = 90.00°, β = 108.02° and γ = 90.00°. Symmetry generates all atoms from Na at (0.000, 0.000, 0.000), Na at (0.000, 0.347, 0.000), Pa at (0.000, 0.167, 0.500), Mn at (0.000, 0.500, 0.500), N at (0.216, 0.345, 0.688) and N at (0.247, 0.000, 0.686).

The calculation puts the magnetization at 3.9 μB/cell. The uncorrected formation energy is -0.73 eV/atom.

***

Entry 2:
The following is a DFT calculation (PBE) of a relaxed structure of Na4Pa3MnN8.

It has space group R-3m (No. 166, hexagonal axes), with a = 6.8561 Å, b = 6.8561 Å, c = 17.1246 Å, α = 90.00°, β = 90.00° and γ = 120.00°. Symmetry generates all atoms from Na at (0.0000, 0.0000, 0.0000), Na at (0.0000, 0.5000, 0.0000), Pa at (0.0000, 0.5000, 0.5000), Mn at (0.0000, 0.0000, 0.5000), N at (0.0000, 0.0000, 0.2309) and N at (0.0149, 0.5074, 0.2284).

The calculation puts the magnetization at 6.6 μB/cell. The uncorrected formation energy is -0.82 eV/atom.

***

Entry 3:
The following is a DFT calculation (PBE) of a relaxed structure of Na2PaMnN4.

It has space group I-42m (No. 121), with a = 6.295 Å, b = 6.295 Å, c = 6.009 Å, α = 90.00°, β = 90.00° and γ = 90.00°. Symmetry generates all atoms from Na at (0.000, 0.500, 0.250), Pa at (0.000, 0.000, 0.000), Mn at (0.000, 0.000, 0.500) and N at (0.143, 0.143, 0.711).

The calculation puts the magnetization at 4.0 μB/cell. The uncorrected formation energy is -0.46 eV/atom.

***

Entry 4:
The following is a DFT calculation (PBE) of a relaxed structure of NaMnPd2N.

It has space group P4/mmm (No. 123), with a = 4.443 Å, b = 4.443 Å, c = 3.729 Å, α = 90.00°, β = 90.00° and γ = 90.00°. Symmetry generates all atoms from Na at (0.000, 0.000, 0.000), Mn at (0.500, 0.500, 0.000), Pd at (0.000, 0.500, 0.500) and N at (0.500, 0.500, 0.500).

The calculation puts the magnetization at 3.3 μB/cell. The uncorrected formation energy is -0.01 eV/atom.

***

Entry 5:
The following is a DFT calculation (PBE) of a relaxed structure of Na2PmMnN4.

It has space group I-42m (No. 121), with a = 6.082 Å, b = 6.082 Å, c = 6.118 Å, α = 90.00°, β = 90.00° and γ = 90.00°. Symmetry generates all atoms from Na at (0.000, 0.500, 0.250), Pm at (0.000, 0.000, 0.000), Mn at (0.000, 0.000, 0.500) and N at (0.159, 0.159, 0.669).

The calculation puts the magnetization at 0.0 μB/cell. The uncorrected formation energy is -0.34 eV/atom.

***

Entry 6:
The following is a DFT calculation (PBE) of a relaxed structure of NaPu2MnN4.

It has space group Cmcm (No. 63), with a = 3.467 Å, b = 11.939 Å, c = 11.550 Å, α = 90.00°, β = 90.00° and γ = 90.00°. Symmetry generates all atoms from Na at (0.000, 0.078, 0.250), Pu at (0.000, 0.371, 0.047), Mn at (0.000, 0.184, 0.750), N at (0.000, 0.000, 0.000), N at (0.000, 0.247, 0.604) and N at (0.000, 0.390, 0.250).

The calculation puts the magnetization at 43.8 μB/cell. The uncorrected formation energy is -0.79 eV/atom.

***

Entry 7:
The following is a DFT calculation (PBE) of a relaxed structure of NaPuMnN4.

It has space group P2_1/m (No. 11), with a = 5.676 Å, b = 5.349 Å, c = 6.983 Å, α = 90.00°, β = 101.29° and γ = 90.00°. Symmetry generates all atoms from Na at (0.156, 0.250, 0.399), Pu at (0.268, 0.250, 0.936), Mn at (0.256, 0.750, 0.177), N at (0.032, 0.750, 0.315), N at (0.079, 0.750, 0.949) and N at (0.448, 0.502, 0.189).

The calculation puts the magnetization at 8.0 μB/cell. The uncorrected formation energy is -0.37 eV/atom.

***

Entry 8:
The following is a DFT calculation (PBE) of a relaxed structure of Na2PuMnN4.

It has space group Pmn2_1 (No. 31), with a = 6.343 Å, b = 7.367 Å, c = 4.868 Å, α = 90.00°, β = 90.00° and γ = 90.00°. Symmetry generates all atoms from Na at (0.234, 0.127, 0.000), Pu at (0.000, 0.400, 0.508), Mn at (0.000, 0.688, 0.941), N at (0.000, 0.449, 0.001), N at (0.000, 0.676, 0.586) and N at (0.241, 0.798, 0.018).

The calculation puts the magnetization at 10.0 μB/cell. The uncorrected formation energy is -0.40 eV/atom.